Entry 1:
# Rb4Tl2O

A relaxed Rb4Tl2O crystal (PBE-GGA, Alexandria).

Space group: P2/m
Size of the total moment: 0.00 Bohr magnetons per cell
Raw formation energy: -0.394 eV per atom

Unit cell a=4.0274 b=7.6667 c=10.8586 alpha=120.82 beta=90.00 gamma=90.00
Fractional coordinates of all 7 atoms:
Rb 0.5000 0.1651 0.9905
Rb 0.0000 0.6968 0.7035
Rb 0.5000 0.6921 0.0096
Rb 0.0000 0.1604 0.2966
Tl 0.5000 0.7112 0.3857
Tl 0.5000 0.1460 0.6144
O 0.0000 0.9286 0.0001

***

Entry 2:
# RbNa3Li12Si4O16

A relaxed RbNa3Li12Si4O16 crystal (PBE-GGA, Alexandria).

Space group: I4/m
Size of the total moment: 0.00 Bohr magnetons per cell
Raw formation energy: -2.314 eV per atom

Unit cell a=8.4214 b=8.4214 c=8.4214 alpha=98.23 beta=98.23 gamma=135.53
Fractional coordinates of all 36 atoms:
Rb 0.0000 0.0000 0.0000
Na 0.7500 0.2500 0.5000
Na 0.2500 0.7500 0.5000
Na 0.5000 0.5000 0.0000
Li 0.7142 0.9275 0.6417
Li 0.9275 0.2858 0.2133
Li 0.2858 0.0725 0.3583
Li 0.0725 0.7142 0.7867
Li 0.3645 0.4911 0.3415
Li 0.0231 0.3645 0.8735
Li 0.6355 0.5089 0.6585
Li 0.1496 0.0231 0.6585
Li 0.8504 0.9769 0.3415
Li 0.5089 0.8504 0.8735
Li 0.9769 0.6355 0.1265
Li 0.4911 0.1496 0.1265
Si 0.4253 0.7801 0.2054
Si 0.7801 0.5747 0.3548
Si 0.2199 0.4253 0.6452
Si 0.5747 0.2199 0.7946
O 0.3676 0.0874 0.8867
O 0.0874 0.2007 0.7198
O 0.2007 0.4809 0.1133
O 0.4809 0.3676 0.2802
O 0.9126 0.7993 0.2802
O 0.6324 0.9126 0.1133
O 0.5191 0.6324 0.7198
O 0.7993 0.5191 0.8867
O 0.8395 0.4358 0.2752
O 0.5642 0.8395 0.4037
O 0.4358 0.1605 0.5963
O 0.1605 0.5642 0.7248
O 0.3258 0.8917 0.2176
O 0.1083 0.3258 0.4341
O 0.8917 0.6742 0.5659
O 0.6742 0.1083 0.7824

***

Entry 3:
# Sr2BeNi

A relaxed Sr2BeNi crystal (PBE-GGA, Alexandria).

Space group: P4mm
Size of the total moment: 0.00 Bohr magnetons per cell
ΔE_f: 279.1 meV per atom

Unit cell a=3.3862 b=3.3833 c=8.6698 alpha=90.00 beta=90.00 gamma=90.00
Fractional coordinates of all 4 atoms:
Sr 0.0000 0.0000 0.9177
Sr 0.5000 0.5000 0.3349
Be 0.0000 0.0000 0.5896
Ni 0.5000 0.5000 0.6579

***

Entry 4:
# Rb2YHfAu

A relaxed Rb2YHfAu crystal (PBE-GGA, Alexandria).

Space group: P4/mmm
Size of the total moment: 2.38 Bohr magnetons per cell
ΔE_f: 1001.8 meV per atom

Unit cell a=6.1539 b=5.7973 c=6.1539 alpha=90.00 beta=90.00 gamma=90.00
Fractional coordinates of all 5 atoms:
Y 0.0000 0.5000 0.0000
Hf 0.5000 0.5000 0.5000
Au 0.0000 0.0000 0.0000
Rb 0.0000 0.0000 0.5000
Rb 0.5000 0.0000 0.0000

***

Entry 5:
# Ac4TlRu

A relaxed Ac4TlRu crystal (PBE-GGA, Alexandria).

Space group: C2/c
Size of the total moment: 0.00 Bohr magnetons per cell
ΔE_f: -169.9 meV per atom

Unit cell a=7.2991 b=9.6281 c=9.6296 alpha=116.40 beta=110.51 gamma=110.50
Fractional coordinates of all 12 atoms:
Ac 0.8697 0.7260 0.8215
Ac 0.1294 0.9370 0.3625
Ac 0.6303 0.1785 0.2740
Ac 0.3705 0.6374 0.0630
Ac 0.6295 0.3626 0.9370
Ac 0.3697 0.8215 0.7260
Ac 0.8706 0.0630 0.6375
Ac 0.1303 0.2740 0.1785
Tl 0.7499 0.6119 0.3879
Tl 0.2501 0.3881 0.6121
Ru 0.2501 0.0896 0.9107
Ru 0.7499 0.9104 0.0893

***

Entry 6:
# Ce2Dy4Te3N2

A relaxed Ce2Dy4Te3N2 crystal (PBE-GGA, Alexandria).

Space group: I4/mmm
Size of the total moment: 2.72 Bohr magnetons per cell
Raw formation energy: -1.189 eV per atom

Unit cell a=4.6255 b=4.6255 c=13.1619 alpha=100.12 beta=100.12 gamma=90.00
Fractional coordinates of all 11 atoms:
Ce 0.3067 0.3066 0.6133
Ce 0.6933 0.6934 0.3867
Dy 0.4174 0.9174 0.8348
Dy 0.9174 0.4174 0.8348
Dy 0.0826 0.5826 0.1652
Dy 0.5826 0.0826 0.1652
Te 0.0000 0.0000 0.0000
Te 0.1753 0.1753 0.3505
Te 0.8247 0.8247 0.6495
N 0.3955 0.3955 0.7911
N 0.6045 0.6045 0.2089

***

Entry 7:
# Na8B13C3

A relaxed Na8B13C3 crystal (PBE-GGA, Alexandria).

Space group: Cm
Size of the total moment: 0.00 Bohr magnetons per cell
ΔE_f: 198.7 meV per atom
Excess energy over the best structure of this formula in the dataset: 1.63 kJ per mole of atoms

Unit cell a=9.1281 b=9.1281 c=10.5147 alpha=106.83 beta=106.83 gamma=18.00
Fractional coordinates of all 24 atoms:
Na 0.4966 0.4966 0.2484
Na 0.2523 0.2523 0.1263
Na 0.5011 0.5011 0.7508
Na 0.2490 0.2490 0.6238
Na 0.9986 0.9986 0.9994
Na 0.7506 0.7506 0.8759
Na 0.0004 0.0004 0.5006
Na 0.7512 0.7512 0.3762
C 0.8750 0.8750 0.7626
C 0.3747 0.3747 0.5288
C 0.1257 0.1257 0.2295
B 0.8749 0.8749 0.2777
B 0.6243 0.6243 0.9906
B 0.6253 0.6253 0.1571
B 0.8752 0.8752 0.1052
B 0.6251 0.6251 0.4755
B 0.6253 0.6253 0.6372
B 0.8749 0.8749 0.6034
B 0.3754 0.3754 0.0115
B 0.1251 0.1251 0.7342
B 0.1244 0.1244 0.8973
B 0.3751 0.3751 0.8351
B 0.1250 0.1250 0.3794
B 0.3749 0.3749 0.3734

***

Entry 8:
# La4Sm2Tl

A relaxed La4Sm2Tl crystal (PBE-GGA, Alexandria).

Space group: Cc
Size of the total moment: 0.00 Bohr magnetons per cell
ΔE_f: -74.3 meV per atom
Excess energy over the best structure of this formula in the dataset: 0.00 kJ per mole of atoms

Unit cell a=6.8726 b=6.8735 c=12.4401 alpha=97.32 beta=97.32 gamma=122.76
Fractional coordinates of all 14 atoms:
Tl 0.0726 0.5751 0.4997
Tl 0.8251 0.8226 0.9997
Sm 0.4779 0.8753 0.3542
Sm 0.5135 0.1227 0.6455
Sm 0.1254 0.2281 0.8542
Sm 0.3724 0.2631 0.1454
La 0.0409 0.6818 0.7755
La 0.6690 0.2501 0.9390
La 0.9109 0.2685 0.2247
La 0.5000 0.4189 0.4390
La 0.9769 0.0654 0.5615
La 0.3155 0.7269 0.0616
La 0.9314 0.7907 0.2754
La 0.5185 0.6609 0.7246

***

Entry 9:
# ZrReRu2

A relaxed ZrReRu2 crystal (PBE-GGA, Alexandria).

Space group: R-3m
Size of the total moment: 0.00 Bohr magnetons per cell
ΔE_f: 146.6 meV per atom
Excess energy over the best structure of this formula in the dataset: 21.88 kJ per mole of atoms

Unit cell a=9.4812 b=9.4812 c=9.4812 alpha=17.05 beta=17.05 gamma=17.05
Fractional coordinates of all 4 atoms:
Re 0.7500 0.7500 0.7500
Ru 0.0075 0.0075 0.0075
Ru 0.4925 0.4925 0.4925
Zr 0.2500 0.2500 0.2500

***

Entry 10:
# Pm2MgZnCu6

A relaxed Pm2MgZnCu6 crystal (PBE-GGA, Alexandria).

Space group: P-1
Size of the total moment: 0.00 Bohr magnetons per cell
ΔE_f: -77.6 meV per atom

Unit cell a=6.5834 b=6.6348 c=5.0030 alpha=67.65 beta=67.44 gamma=81.21
Fractional coordinates of all 10 atoms:
Pm 0.1988 0.7177 0.5426
Pm 0.8012 0.2823 0.4574
Mg 0.5000 0.5000 0.0000
Zn 0.0000 0.0000 0.0000
Cu 0.4306 0.9310 0.8189
Cu 0.7442 0.7661 0.9968
Cu 0.2548 0.2350 0.5069
Cu 0.5694 0.0690 0.1811
Cu 0.2558 0.2339 0.0032
Cu 0.7452 0.7650 0.4931

***

Entry 11:
# KPaGe2O8

A relaxed KPaGe2O8 crystal (PBE-GGA, Alexandria).

Space group: I-4m2
Size of the total moment: 2.05 Bohr magnetons per cell
Raw formation energy: -1.808 eV per atom

Unit cell a=6.1191 b=6.1191 c=6.1191 alpha=109.04 beta=109.04 gamma=110.35
Fractional coordinates of all 12 atoms:
K 0.0000 0.0000 0.0000
Pa 0.2500 0.7500 0.5000
Ge 0.7500 0.2500 0.5000
Ge 0.5000 0.5000 0.0000
O 0.4000 0.0593 0.3407
O 0.3411 0.5418 0.2007
O 0.3411 0.1404 0.7993
O 0.7186 0.0593 0.6593
O 0.8596 0.6589 0.2007
O 0.9407 0.2814 0.3407
O 0.9407 0.6000 0.6593
O 0.4582 0.6589 0.7993

***

Entry 12:
# Rb2Cd2Pt

A relaxed Rb2Cd2Pt crystal (PBE-GGA, Alexandria).

Space group: P4/mbm
Size of the total moment: 0.00 Bohr magnetons per cell
ΔE_f: -36.8 meV per atom
Excess energy over the best structure of this formula in the dataset: 12.39 kJ per mole of atoms

Unit cell a=7.3800 b=7.3800 c=5.9695 alpha=90.00 beta=90.00 gamma=90.00
Fractional coordinates of all 10 atoms:
Rb 0.1811 0.6811 0.5000
Rb 0.6811 0.8189 0.5000
Rb 0.8189 0.3189 0.5000
Rb 0.3189 0.1811 0.5000
Pt 0.0000 0.0000 0.0000
Pt 0.5000 0.5000 0.0000
Cd 0.3451 0.8451 0.0000
Cd 0.8451 0.6549 0.0000
Cd 0.6549 0.1549 0.0000
Cd 0.1549 0.3451 0.0000